Entry 1:
La8Si3IrBr4: optimized geometry, PBE-GGA.

* DFT total energy: -5.590 eV/atom
* N(E_F): 0.812 states/eV per atom
* formation energy from raw total energies: -1.138 eV/atom
* space-group type: C2/m
* ρ: 5.82 g cm⁻³

Cell: 8.717 8.943 8.730 Å, 119.23 119.95 90.00°
Fractional positions:
Br: 0.000 0.000 0.000
Br: 0.500 0.000 0.500
Br: 0.000 0.000 0.500
Br: 0.500 0.000 0.000
Si: 0.000 0.500 0.500
Si: 0.500 0.500 0.000
Si: 0.500 0.500 0.500
La: 0.747 0.710 0.978
La: 0.769 0.290 0.022
La: 0.260 0.280 0.520
La: 0.231 0.710 0.978
La: 0.253 0.290 0.022
La: 0.740 0.720 0.480
La: 0.766 0.288 0.532
La: 0.234 0.712 0.468
Ir: 0.000 0.500 0.000

***

Entry 2:
Li6TaAs4: optimized geometry, PBE-GGA.

* DFT total energy: -4.356 eV/atom
* N(E_F): 0.661 states/eV per atom
* E_form: -6.0 eV/f.u.
* space-group type: P4_2/nmc
* ρ: 3.89 g cm⁻³

Cell: 6.540 8.255 8.255 Å, 90.00 90.00 90.00°
Fractional positions:
Li: 0.944 0.500 0.000
Li: 0.556 0.000 0.500
Li: 0.000 0.219 0.219
Li: 0.000 0.219 0.781
Li: 0.500 0.719 0.281
Li: 0.444 0.500 0.000
Li: 0.500 0.281 0.719
Li: 0.500 0.281 0.281
Li: 0.000 0.781 0.781
Li: 0.056 0.000 0.500
Li: 0.500 0.719 0.719
Li: 0.000 0.781 0.219
As: 0.208 0.500 0.250
As: 0.292 0.000 0.750
As: 0.792 0.250 0.500
As: 0.792 0.750 0.500
As: 0.208 0.500 0.750
As: 0.708 0.250 0.000
As: 0.292 0.000 0.250
As: 0.708 0.750 0.000
Ta: 0.500 0.000 0.000
Ta: 0.000 0.500 0.500

***

Entry 3:
CrCdCu2: optimized geometry, PBE-GGA.

* DFT total energy: -4.408 eV/atom
* N(E_F): 0.370 states/eV per atom
* E_form: 1.1 eV/f.u.
* space-group type: I-4m2
* ρ: 7.99 g cm⁻³

Cell: 4.843 4.843 4.843 Å, 132.50 132.50 69.44°
Last column: magnetic moment on the atom in μB.
Fractional positions:
Cd: 0.500 0.500 0.000  0.01
Cu: 0.250 0.750 0.500  0.08
Cu: 0.000 0.000 0.000  0.07
Cr: 0.750 0.250 0.500  3.54

***

Entry 4:
PrErIn4: optimized geometry, PBE-GGA.

* DFT total energy: -3.739 eV/atom
* N(E_F): 0.755 states/eV per atom
* E_form: -2.1 eV/f.u.
* energy above the lowest structure with this stoichiometry: 0.0434 eV per atom
* space-group type: F-43m
* ρ: 8.15 g cm⁻³

Cell: 6.048 6.048 6.048 Å, 60.00 60.00 60.00°
Fractional positions:
Pr: 0.250 0.250 0.250
In: 0.625 0.625 0.125
In: 0.625 0.625 0.625
In: 0.125 0.625 0.625
In: 0.625 0.125 0.625
Er: 0.000 0.000 0.000

***

Entry 5:
Th3Ag5O12: optimized geometry, PBE-GGA.

* DFT total energy: -6.346 eV/atom
* N(E_F): 0.424 states/eV per atom
* formation energy from raw total energies: -1.546 eV/atom
* space-group type: Ia-3d
* ρ: 8.07 g cm⁻³

Cell: 11.513 11.513 11.513 Å, 109.47 109.47 109.47°
Fractional positions:
O: 0.216 0.552 0.635
O: 0.081 0.916 0.365
O: 0.164 0.081 0.716
O: 0.635 0.584 0.919
O: 0.419 0.284 0.336
O: 0.836 0.916 0.052
O: 0.919 0.836 0.784
O: 0.084 0.164 0.448
O: 0.052 0.635 0.716
O: 0.365 0.416 0.081
O: 0.552 0.216 0.135
O: 0.081 0.164 0.216
O: 0.052 0.416 0.836
O: 0.664 0.216 0.581
O: 0.216 0.664 0.081
O: 0.948 0.584 0.164
O: 0.419 0.135 0.584
O: 0.336 0.784 0.419
O: 0.584 0.635 0.419
O: 0.948 0.365 0.284
O: 0.552 0.336 0.916
O: 0.919 0.084 0.635
O: 0.865 0.284 0.448
O: 0.416 0.365 0.581
O: 0.284 0.419 0.836
O: 0.635 0.052 0.216
O: 0.836 0.919 0.284
O: 0.084 0.919 0.135
O: 0.416 0.052 0.336
O: 0.365 0.948 0.784
O: 0.716 0.135 0.052
O: 0.584 0.948 0.664
O: 0.581 0.716 0.664
O: 0.581 0.865 0.416
O: 0.164 0.084 0.948
O: 0.336 0.552 0.416
O: 0.865 0.581 0.916
O: 0.716 0.581 0.164
O: 0.916 0.836 0.552
O: 0.664 0.448 0.584
O: 0.916 0.081 0.865
O: 0.448 0.784 0.865
O: 0.448 0.664 0.084
O: 0.135 0.716 0.552
O: 0.784 0.336 0.919
O: 0.284 0.865 0.948
O: 0.784 0.448 0.365
O: 0.135 0.419 0.084
Ag: 0.625 0.875 0.250
Ag: 0.375 0.250 0.125
Ag: 0.750 0.625 0.375
Ag: 0.125 0.375 0.250
Ag: 0.125 0.750 0.375
Ag: 0.500 0.500 0.000
Ag: 0.000 0.000 0.500
Ag: 0.500 0.000 0.000
Ag: 0.875 0.625 0.750
Ag: 0.625 0.750 0.875
Ag: 0.250 0.875 0.125
Ag: 0.875 0.250 0.625
Ag: 0.000 0.000 0.000
Ag: 0.000 0.500 0.500
Ag: 0.500 0.000 0.500
Ag: 0.500 0.500 0.500
Ag: 0.750 0.125 0.875
Ag: 0.375 0.125 0.750
Ag: 0.250 0.375 0.625
Ag: 0.000 0.500 0.000
Th: 0.125 0.875 0.750
Th: 0.375 0.750 0.625
Th: 0.125 0.250 0.875
Th: 0.625 0.250 0.375
Th: 0.250 0.125 0.375
Th: 0.750 0.375 0.125
Th: 0.875 0.750 0.125
Th: 0.375 0.625 0.250
Th: 0.625 0.375 0.750
Th: 0.750 0.875 0.625
Th: 0.250 0.625 0.875
Th: 0.875 0.125 0.250

***

Entry 6:
Pm3DyY2: optimized geometry, PBE-GGA.

* DFT total energy: -5.294 eV/atom
* N(E_F): 1.276 states/eV per atom
* E_form: 0.0 eV/f.u.
* space-group type: P-1
* ρ: 6.45 g cm⁻³

Cell: 7.265 10.328 7.268 Å, 79.99 119.92 121.73°
Fractional positions:
Dy: 0.251 0.001 0.251
Dy: 0.749 0.999 0.749
Pm: 0.251 0.001 0.750
Pm: 0.749 0.999 0.250
Pm: 0.196 0.334 0.639
Pm: 0.804 0.666 0.361
Pm: 0.805 0.668 0.861
Pm: 0.195 0.332 0.139
Y: 0.305 0.668 0.361
Y: 0.695 0.332 0.639
Y: 0.696 0.334 0.140
Y: 0.304 0.666 0.860

***

Entry 7:
TbDyGaPd: optimized geometry, PBE-GGA.

* DFT total energy: -5.104 eV/atom
* N(E_F): 0.817 states/eV per atom
* E_form: -3.0 eV/f.u.
* energy above the lowest structure with this stoichiometry: 0.0000 eV per atom
* space-group type: Amm2
* ρ: 8.89 g cm⁻³

Cell: 3.746 4.497 5.828 Å, 90.00 108.75 90.00°
Fractional positions:
Tb: 0.143 0.000 0.287
Dy: 0.860 0.500 0.719
Ga: 0.422 0.000 0.844
Pd: 0.575 0.500 0.150

***

Entry 8:
PmY3Er2: optimized geometry, PBE-GGA.

* DFT total energy: -5.477 eV/atom
* N(E_F): 1.869 states/eV per atom
* E_form: 0.4 eV/f.u.
* energy above the lowest structure with this stoichiometry: 0.0620 eV per atom
* space-group type: C2/c
* ρ: 6.46 g cm⁻³

Cell: 6.624 6.624 8.988 Å, 81.47 81.47 94.51°
Fractional positions:
Pm: 0.928 0.072 0.750
Pm: 0.072 0.928 0.250
Y: 0.338 0.172 0.494
Y: 0.404 0.596 0.250
Y: 0.172 0.338 0.994
Y: 0.662 0.828 0.506
Y: 0.828 0.662 0.006
Y: 0.596 0.404 0.750
Er: 0.128 0.622 0.625
Er: 0.622 0.128 0.125
Er: 0.378 0.872 0.875
Er: 0.872 0.378 0.375

***

Entry 9:
CoRh: optimized geometry, PBE-GGA.

* DFT total energy: -7.163 eV/atom
* N(E_F): 1.492 states/eV per atom
* E_form: 0.1 eV/f.u.
* space-group type: P2/m
* ρ: 10.48 g cm⁻³

Cell: 2.664 6.421 4.498 Å, 91.47 90.00 90.00°
Last column: magnetic moment on the atom in μB.
Fractional positions:
Rh: 0.000 0.333 0.667  0.48
Rh: 0.500 0.673 0.846  0.52
Rh: 0.500 0.993 0.487  0.52
Co: 0.500 0.333 0.167  1.85
Co: 0.000 0.010 0.003  1.83
Co: 0.000 0.657 0.330  1.83

***

Entry 10:
Cs8PtAu2: optimized geometry, PBE-GGA.

* DFT total energy: -1.892 eV/atom
* N(E_F): 0.564 states/eV per atom
* E_form: -1.4 eV/f.u.
* space-group type: C2/m
* ρ: 3.40 g cm⁻³

Cell: 9.606 9.676 9.923 Å, 90.40 118.95 90.00°
Fractional positions:
Cs: 0.280 0.598 0.560
Cs: 0.265 0.751 0.064
Cs: 0.181 0.121 0.363
Cs: 0.720 0.402 0.440
Cs: 0.819 0.879 0.637
Cs: 0.735 0.249 0.936
Cs: 0.799 0.751 0.064
Cs: 0.201 0.249 0.936
Au: 0.084 0.467 0.168
Au: 0.916 0.533 0.832
Pt: 0.000 0.000 0.000

***

Entry 11:
FeTc2Ru: optimized geometry, PBE-GGA.

* DFT total energy: -9.496 eV/atom
* N(E_F): 1.036 states/eV per atom
* E_form: 0.5 eV/f.u.
* energy above the lowest structure with this stoichiometry: 0.1164 eV per atom
* space-group type: R3m
* ρ: 10.68 g cm⁻³

Cell: 8.852 8.852 8.852 Å, 17.52 17.52 17.52°
Last column: magnetic moment on the atom in μB.
Fractional positions:
Tc: 0.000 0.000 0.000  -0.08
Tc: 0.248 0.248 0.248  -0.12
Ru: 0.753 0.753 0.753  -0.06
Fe: 0.499 0.499 0.499  1.92

***

Entry 12:
Ga2GeBi: optimized geometry, PBE-GGA.

* DFT total energy: -3.514 eV/atom
* N(E_F): 0.366 states/eV per atom
* E_form: 0.5 eV/f.u.
* space-group type: R-3m
* ρ: 7.57 g cm⁻³

Cell: 4.051 4.051 6.909 Å, 72.95 72.95 60.00°
Fractional positions:
Bi: 0.500 0.500 0.500
Ga: 0.266 0.266 0.201
Ga: 0.734 0.734 0.799
Ge: 0.000 0.000 0.000

***

What is the DFT total energy in the tenth record? -1.892 eV/atom